[1]
## AcLaZnRu (PBE-GGA)

Data for a relaxed structure of AcLaZnRu.

abc: 4.3081 4.3640 11.4019
angles: 90.00 90.00 90.00
Closest atoms and distances in Å follow each position.
Positions (direct):
Ac  0.0000  0.0000  0.0000  3 Ru 3.16-3.35, 4 Zn 3.22
Ac  0.0000  0.5000  0.5000  3 Ru 3.16-3.35, 4 Zn 3.22
La  0.5000  0.0000  0.7204  3 Zn 3.11-3.48, 4 Ru 3.13
La  0.5000  0.5000  0.2204  3 Zn 3.11-3.48, 4 Ru 3.13
Zn  0.5000  0.0000  0.4150  2 Ru 2.66
Zn  0.5000  0.5000  0.9150  2 Ru 2.66
Ru  0.0000  0.0000  0.2774  2 Zn 2.66
Ru  0.0000  0.5000  0.7774  2 Zn 2.66

Calculated values
Formation energy from the elements = -0.2102 eV/atom
Energy relative to the lowest polymorph listed for this composition = 0 meV/atom

=====

[2]
## IrPtPb2O (PBE-GGA)

Data for a relaxed structure of IrPtPb2O.

abc: 12.4323 3.2003 5.1499
angles: 90.00 107.03 90.00
Closest atoms and distances in Å follow each position.
Positions (direct):
Ir  0.0000  0.0000  0.0000  2 O 2.09
Ir  0.5000  0.5000  0.0000  2 O 2.09
Pt  0.3265  0.0000  0.7524  2 Ir 2.69, 2 Pb 2.98
Pt  0.8265  0.5000  0.7524  2 Ir 2.69, 2 Pb 2.98
Pb  0.1069  0.5000  0.5939  2 O 2.57-2.58
Pb  0.3275  0.5000  0.2643  1 O 2.55, 1 Ir 2.86
Pb  0.6069  0.0000  0.5939  2 O 2.57-2.58
Pb  0.8275  0.0000  0.2643  1 O 2.55, 1 Ir 2.86
O  0.1129  0.5000  0.0977  2 Ir 2.09
O  0.6129  0.0000  0.0977  2 Ir 2.09

Calculated values
Formation energy from raw total energies = -0.0533 eV per atom
Energy relative to the lowest polymorph listed for this composition = 115 meV/atom

=====

[3]
## MnV3S4 (PBE-GGA)

Data for a relaxed structure of MnV3S4.

abc: 9.3906 4.7143 5.7572
angles: 90.00 90.00 90.00
Closest atoms and distances in Å follow each position.
Positions (direct):
Mn  0.0000  0.2437  0.0000  5 S 2.40-2.53
Mn  0.5000  0.7563  0.5000  5 S 2.40-2.53
V  0.0000  0.7008  0.2967  5 S 2.36-2.55
V  0.2480  0.3269  0.4741  5 S 2.34-2.53
V  0.2520  0.6731  0.9741  5 S 2.34-2.53
V  0.5000  0.2992  0.7967  5 S 2.36-2.55
V  0.7480  0.6731  0.9741  5 S 2.34-2.53
V  0.7520  0.3269  0.4741  5 S 2.34-2.53
S  0.0000  0.2209  0.4162  4 V 2.36-2.55, 1 Mn 2.40
S  0.0000  0.7351  0.8850  3 V 2.38-2.44, 2 Mn 2.41-2.49
S  0.2445  0.8058  0.3677  4 V 2.34-2.53, 1 Mn 2.53
S  0.2555  0.1942  0.8677  4 V 2.34-2.53, 1 Mn 2.53
S  0.5000  0.2649  0.3850  3 V 2.38-2.44, 2 Mn 2.41-2.49
S  0.5000  0.7791  0.9162  4 V 2.36-2.55, 1 Mn 2.40
S  0.7445  0.1942  0.8677  4 V 2.34-2.53, 1 Mn 2.53
S  0.7555  0.8058  0.3677  4 V 2.34-2.53, 1 Mn 2.53

Calculated values
Formation energy from raw total energies = -0.6224 eV per atom

=====

[4]
## Mg2TaSe (PBE-GGA)

Data for a relaxed structure of Mg2TaSe.

abc: 3.5649 5.0161 9.2839
angles: 90.00 90.00 90.00
Closest atoms and distances in Å follow each position.
Positions (direct):
Mg  0.0000  0.0000  0.0000  2 Ta 2.92, 6 Mg 3.07-3.08
Mg  0.0000  0.5000  0.2697  6 Mg 3.07-3.08, 2 Se 3.14
Mg  0.5000  0.0000  0.2697  6 Mg 3.07-3.08, 2 Se 3.14
Mg  0.5000  0.5000  0.0000  2 Ta 2.92, 6 Mg 3.07-3.08
Ta  0.0000  0.5000  0.7504  2 Se 2.58
Ta  0.5000  0.0000  0.7504  2 Se 2.58
Se  0.0000  0.0000  0.5488  2 Ta 2.58
Se  0.5000  0.5000  0.5488  2 Ta 2.58

Calculated values
Formation energy from raw total energies = 0.0152 eV per atom

=====

[5]
## TiRu2Pt2 (PBE-GGA)

Data for a relaxed structure of TiRu2Pt2.

abc: 3.5188 3.5188 13.3041
angles: 90.00 90.00 90.00
Closest atoms and distances in Å follow each position.
Positions (direct):
Ti  0.0000  0.0000  0.0000  8 Pt 2.80
Ti  0.5000  0.5000  0.5000  8 Pt 2.80
Ru  0.0000  0.5000  0.2500  4 Ru 2.49, 4 Pt 2.69
Ru  0.0000  0.5000  0.7500  4 Ru 2.49, 4 Pt 2.69
Ru  0.5000  0.0000  0.2500  4 Ru 2.49, 4 Pt 2.69
Ru  0.5000  0.0000  0.7500  4 Ru 2.49, 4 Pt 2.69
Pt  0.0000  0.0000  0.4034  1 Pt 2.57, 4 Ru 2.69, 4 Ti 2.80
Pt  0.0000  0.0000  0.5966  1 Pt 2.57, 4 Ru 2.69, 4 Ti 2.80
Pt  0.5000  0.5000  0.0966  1 Pt 2.57, 4 Ru 2.69, 4 Ti 2.80
Pt  0.5000  0.5000  0.9034  1 Pt 2.57, 4 Ru 2.69, 4 Ti 2.80

Calculated values
Formation energy from the elements = -0.0569 eV/atom
Energy relative to the lowest polymorph listed for this composition = 0 meV/atom

=====

[6]
## Al5PdRu4 (PBE-GGA)

Data for a relaxed structure of Al5PdRu4.

abc: 3.0272 3.0272 14.9966
angles: 90.00 90.00 90.00
Closest atoms and distances in Å follow each position.
Positions (direct):
Al  0.0000  0.0000  0.0000  8 Ru 2.61
Al  0.0000  0.0000  0.1993  8 Ru 2.61-2.62, 1 Al 2.88
Al  0.0000  0.0000  0.3910  4 Ru 2.54, 4 Pd 2.69
Al  0.0000  0.0000  0.6090  4 Ru 2.54, 4 Pd 2.69
Al  0.0000  0.0000  0.8007  8 Ru 2.61-2.62, 1 Al 2.88
Pd  0.5000  0.5000  0.5000  8 Al 2.69, 2 Ru 3.00
Ru  0.5000  0.5000  0.0993  8 Al 2.61
Ru  0.5000  0.5000  0.3000  8 Al 2.54-2.62
Ru  0.5000  0.5000  0.7000  8 Al 2.54-2.62
Ru  0.5000  0.5000  0.9007  8 Al 2.61

Calculated values
Formation energy from the elements = -0.7377 eV/atom

=====

[7]
## Dy4Ho6Th (PBE-GGA)

Data for a relaxed structure of Dy4Ho6Th.

abc: 8.4303 8.4303 8.4303
angles: 126.58 126.58 78.93
Closest atoms and distances in Å follow each position.
Positions (direct):
Dy  0.2534  0.2534  0.6581  3 Ho 2.98-3.23, 2 Dy 3.25
Dy  0.4047  0.7466  0.0000  3 Ho 2.98-3.23, 2 Dy 3.25
Dy  0.5953  0.5953  0.3419  3 Ho 2.98-3.23, 2 Dy 3.25
Dy  0.7466  0.4047  0.0000  3 Ho 2.98-3.23, 2 Dy 3.25
Ho  0.0000  0.5000  0.5000  4 Dy 2.98
Ho  0.0585  0.5762  0.0000  4 Dy 3.23-3.60, 1 Th 3.51, 2 Ho 3.58
Ho  0.4238  0.4238  0.4822  4 Dy 3.23-3.60, 1 Th 3.51, 2 Ho 3.58
Ho  0.5000  0.0000  0.5000  4 Dy 2.98
Ho  0.5762  0.0585  0.0000  4 Dy 3.23-3.60, 1 Th 3.51, 2 Ho 3.58
Ho  0.9415  0.9415  0.5178  4 Dy 3.23-3.60, 1 Th 3.51, 2 Ho 3.58
Th  0.0000  0.0000  0.0000  8 Ho 3.51-3.79, 4 Dy 3.66

Calculated values
Formation energy from the elements = 0.4694 eV/atom
Energy relative to the lowest polymorph listed for this composition = 326 meV/atom

=====

[8]
## FeTeAs2 (PBE-GGA)

Data for a relaxed structure of FeTeAs2.

abc: 3.1830 3.1830 26.9801
angles: 90.00 90.00 120.00
Closest atoms and distances in Å follow each position.
Positions (direct):
Fe  0.0000  0.0000  0.0000  6 As 2.43
Fe  0.3333  0.6667  0.6667  6 As 2.43
Fe  0.6667  0.3333  0.3333  6 As 2.43
Te  0.0000  0.0000  0.5000  6 Te 3.18, 6 As 3.44
Te  0.3333  0.6667  0.1667  6 Te 3.18, 6 As 3.44
Te  0.6667  0.3333  0.8333  6 Te 3.18, 6 As 3.44
As  0.0000  0.0000  0.2746  3 Fe 2.43
As  0.0000  0.0000  0.7254  3 Fe 2.43
As  0.3333  0.6667  0.3920  3 Fe 2.43
As  0.3333  0.6667  0.9413  3 Fe 2.43
As  0.6667  0.3333  0.0587  3 Fe 2.43
As  0.6667  0.3333  0.6080  3 Fe 2.43

Calculated values
Formation energy from raw total energies = 0.1202 eV per atom

=====

[9]
## ErPuTi2 (PBE-GGA)

Data for a relaxed structure of ErPuTi2.

abc: 3.5705 3.5705 6.8421
angles: 90.00 90.00 90.00
Closest atoms and distances in Å follow each position.
Positions (direct):
Er  0.0000  0.0000  0.0000  8 Ti 3.23, 2 Pu 3.42, 4 Er 3.57
Pu  0.0000  0.0000  0.5000  8 Ti 2.89
Ti  0.5000  0.5000  0.2954  1 Ti 2.80, 4 Pu 2.89
Ti  0.5000  0.5000  0.7046  1 Ti 2.80, 4 Pu 2.89

Calculated values
Formation energy from the elements = 0.1690 eV/atom

=====

[10]
## Sn2PtRh (PBE-GGA)

Data for a relaxed structure of Sn2PtRh.

abc: 6.1350 6.1350 11.3723
angles: 90.00 90.00 90.00
Closest atoms and distances in Å follow each position.
Positions (direct):
Sn  0.2432  0.2500  0.1250  2 Rh 2.57, 2 Pt 2.62
Sn  0.2500  0.7432  0.3750  2 Rh 2.57, 2 Pt 2.62
Sn  0.2500  0.7568  0.8750  2 Rh 2.57, 2 Pt 2.62
Sn  0.2568  0.2500  0.6250  2 Rh 2.57, 2 Pt 2.62
Sn  0.7432  0.7500  0.6250  2 Rh 2.57, 2 Pt 2.62
Sn  0.7500  0.2432  0.8750  2 Rh 2.57, 2 Pt 2.62
Sn  0.7500  0.2568  0.3750  2 Rh 2.57, 2 Pt 2.62
Sn  0.7568  0.7500  0.1250  2 Rh 2.57, 2 Pt 2.62
Pt  0.0000  0.0000  0.5000  4 Sn 2.62
Pt  0.0000  0.5000  0.7500  4 Sn 2.62
Pt  0.5000  0.0000  0.2500  4 Sn 2.62
Pt  0.5000  0.5000  0.0000  4 Sn 2.62
Rh  0.0000  0.0000  0.0000  4 Sn 2.57
Rh  0.0000  0.5000  0.2500  4 Sn 2.57
Rh  0.5000  0.0000  0.7500  4 Sn 2.57
Rh  0.5000  0.5000  0.5000  4 Sn 2.57

Calculated values
Formation energy from the elements = -0.0105 eV/atom
Energy relative to the lowest polymorph listed for this composition = 343 meV/atom

=====

[11]
## UCu5 (PBE-GGA)

Data for a relaxed structure of UCu5.

abc: 4.9853 4.9853 4.9853
angles: 60.00 60.00 60.00
Closest atoms and distances in Å follow each position.
Positions (direct):
U  0.0000  0.0000  0.0000  16 Cu 2.93-3.05
Cu  0.1292  0.6236  0.6236  6 Cu 2.46-2.52
Cu  0.2500  0.2500  0.2500  12 Cu 2.92, 4 U 3.05
Cu  0.6236  0.1292  0.6236  6 Cu 2.46-2.52
Cu  0.6236  0.6236  0.1292  6 Cu 2.46-2.52
Cu  0.6236  0.6236  0.6236  6 Cu 2.46-2.52

Calculated values
Formation energy from the elements = 0.1070 eV/atom

=====

[12]
## PtC2 (PBE-GGA)

Data for a relaxed structure of PtC2.

abc: 2.6185 16.3383 2.6867
angles: 90.00 90.00 90.00
Closest atoms and distances in Å follow each position.
Positions (direct):
Pt  0.0000  0.1300  0.0000  2 C 2.07
Pt  0.0000  0.8700  0.0000  2 C 2.07
Pt  0.5000  0.3700  0.0000  2 C 2.07
Pt  0.5000  0.6300  0.0000  2 C 2.07
C  0.0000  0.0000  0.5000  4 C 1.88
C  0.0000  0.2265  0.5000  2 C 1.52
C  0.0000  0.5000  0.0000  4 C 1.88
C  0.0000  0.7735  0.5000  2 C 1.52
C  0.5000  0.0000  0.0000  4 C 1.88
C  0.5000  0.2735  0.5000  2 C 1.52
C  0.5000  0.5000  0.5000  4 C 1.88
C  0.5000  0.7265  0.5000  2 C 1.52

Calculated values
Formation energy from the elements = 1.3281 eV/atom
Energy relative to the lowest polymorph listed for this composition = 1007 meV/atom